Computed, not measured: crystalline NbAg2HgSe3S at its relaxed geometry at the PBE level of DFT.

Lattice parameters (Å, degrees): 8.8178 8.8640 7.1336 90.00 127.57 90.00
Last column: nearest neighbours and their distance in Å.
Space group Cm (No. 8)
Asymmetric unit:
Nb: 0.0000 0.0000 0.0000 [2 per cell]  1 S 2.32, 3 Se 2.46
Ag: 0.0048 0.2384 0.5216 [4 per cell]  1 S 2.54, 3 Se 2.68-2.69
Hg: 0.4977 0.0000 0.0108 [2 per cell]  1 S 2.79, 3 Se 2.81-2.84
Se: 0.1241 0.2242 0.2553 [4 per cell]  1 Nb 2.46, 2 Ag 2.68-2.69
Se: 0.1493 0.5000 0.7561 [2 per cell]  1 Nb 2.46, 2 Ag 2.68
S: 0.1032 0.0000 0.7692 [2 per cell]  1 Nb 2.32, 2 Ag 2.54

DFT total energy   -0.1521 Ha/atom
Total magnetization   0.0 μB/cell


Computed, not measured: crystalline Nd3Ag2Hg at its relaxed geometry at the PBE level of DFT.

Lattice parameters (Å, degrees): 3.7895 3.7895 11.2234 90.00 90.00 90.00
Last column: nearest neighbours and their distance in Å.
Space group P4/mmm (No. 123)
Asymmetric unit:
Nd: 0.0000 0.0000 0.0000 [1 per cell]  8 Ag 3.24
Nd: 0.0000 0.0000 0.3296 [2 per cell]  4 Ag 3.27, 4 Hg 3.29
Ag: 0.5000 0.5000 0.1630 [2 per cell]  8 Nd 3.24-3.27
Hg: 0.5000 0.5000 0.5000 [1 per cell]  8 Nd 3.29

DFT total energy   -0.1365 Ha/atom
Total magnetization   0.5 μB/cell


Computed, not measured: crystalline Nd2AgHg3 at its relaxed geometry at the PBE level of DFT.

Lattice parameters (Å, degrees): 6.9525 10.0084 17.3374 90.00 90.00 90.00
Last column: nearest neighbours and their distance in Å.
Space group Fmmm (No. 69)
Asymmetric unit:
Nd: 0.2493 0.0000 0.0000 [8 per cell]  10 Hg 3.35-3.42, 2 Ag 3.37, 2 Nd 3.47-3.49
Nd: 0.2500 0.2500 0.2500 [8 per cell]  8 Hg 3.35-3.36, 4 Ag 3.37, 2 Nd 3.48
Ag: 0.0000 0.0000 0.1669 [8 per cell]  3 Hg 2.84-2.85
Hg: 0.0000 0.0000 0.3312 [8 per cell]  1 Ag 2.85, 2 Hg 2.93
Hg: 0.0000 0.2457 0.0846 [16 per cell]  1 Ag 2.84, 2 Hg 2.93

DFT total energy   -0.0964 Ha/atom
Total magnetization   0.1 μB/cell


Computed, not measured: crystalline Nd3Ag2Hg3Pd at its relaxed geometry at the PBE level of DFT.

Lattice parameters (Å, degrees): 8.0261 8.0261 3.9068 90.00 90.00 120.00
Last column: nearest neighbours and their distance in Å.
Space group P-62m (No. 189)
Asymmetric unit:
Nd: 0.0000 0.6122 0.0000 [3 per cell]  1 Pd 3.11, 4 Ag 3.16, 6 Hg 3.38-3.39
Ag: 0.3333 0.6667 0.5000 [2 per cell]  3 Hg 2.98, 6 Nd 3.16
Hg: 0.0000 0.2670 0.5000 [3 per cell]  2 Pd 2.90, 2 Ag 2.98
Pd: 0.0000 0.0000 0.0000 [1 per cell]  6 Hg 2.90, 3 Nd 3.11

DFT total energy   -0.1228 Ha/atom
Total magnetization   0.0 μB/cell


Computed, not measured: crystalline Nd3AgHg3Pd2 at its relaxed geometry at the PBE level of DFT.

Lattice parameters (Å, degrees): 7.9764 7.9764 3.8753 90.00 90.00 120.00
Last column: nearest neighbours and their distance in Å.
Space group P-62m (No. 189)
Asymmetric unit:
Nd: 0.0000 0.5943 0.0000 [3 per cell]  4 Pd 3.10, 6 Hg 3.22-3.45, 1 Ag 3.24
Ag: 0.0000 0.0000 0.0000 [1 per cell]  6 Hg 2.90, 3 Nd 3.24
Hg: 0.0000 0.2711 0.5000 [3 per cell]  2 Ag 2.90, 2 Pd 2.94, 2 Nd 3.22
Pd: 0.3333 0.6667 0.5000 [2 per cell]  3 Hg 2.94, 6 Nd 3.10

DFT total energy   -0.1383 Ha/atom
Total magnetization   0.0 μB/cell


Computed, not measured: crystalline PrNd2Ag2Hg3Pd at its relaxed geometry at the PBE level of DFT.

Lattice parameters (Å, degrees): 3.9450 13.8749 8.0029 90.00 90.00 90.00
Last column: nearest neighbours and their distance in Å.
Space group Amm2 (No. 38)
Asymmetric unit:
Pr: 0.0000 0.0000 0.0000 [2 per cell]  1 Pd 3.10, 4 Ag 3.18, 6 Hg 3.38-3.40
Nd: 0.0000 0.1930 0.4198 [4 per cell]  1 Pd 3.09, 4 Ag 3.17, 6 Hg 3.37-3.41
Ag: 0.5000 0.1673 0.1134 [4 per cell]  3 Hg 2.96-2.98, 4 Nd 3.17, 2 Pr 3.18
Hg: 0.5000 0.0000 0.3468 [2 per cell]  2 Pd 2.90, 2 Ag 2.98
Hg: 0.5000 0.1336 0.7461 [4 per cell]  2 Pd 2.91, 2 Ag 2.96-2.98
Pd: 0.0000 0.0000 0.6122 [2 per cell]  6 Hg 2.90-2.91, 2 Nd 3.09, 1 Pr 3.10

DFT total energy   -0.1228 Ha/atom
Total magnetization   0.0 μB/cell


Computed, not measured: crystalline Nd3TlAgHg2Pd2 at its relaxed geometry at the PBE level of DFT.

Lattice parameters (Å, degrees): 3.9359 13.7721 7.9464 90.00 90.00 90.00
Last column: nearest neighbours and their distance in Å.
Space group Amm2 (No. 38)
Asymmetric unit:
Nd: 0.0000 0.0000 0.0000 [2 per cell]  4 Pd 3.11, 1 Ag 3.20, 2 Tl 3.30, 4 Hg 3.45
Nd: 0.0000 0.2071 0.3928 [4 per cell]  4 Pd 3.10-3.11, 4 Hg 3.21-3.47, 1 Ag 3.28
Tl: 0.5000 0.0000 0.3327 [2 per cell]  2 Ag 2.88, 2 Pd 2.95
Ag: 0.0000 0.0000 0.5977 [2 per cell]  2 Tl 2.88, 4 Hg 2.90, 1 Nd 3.20
Hg: 0.5000 0.1342 0.7293 [4 per cell]  2 Ag 2.90, 2 Pd 2.95-2.96, 2 Nd 3.21
Pd: 0.5000 0.1655 0.0976 [4 per cell]  1 Tl 2.95, 2 Hg 2.95-2.96, 6 Nd 3.10-3.11

DFT total energy   -0.1458 Ha/atom
Total magnetization   0.0 μB/cell


Computed, not measured: crystalline PrNd2AgHg3Pt2 at its relaxed geometry at the PBE level of DFT.

Lattice parameters (Å, degrees): 3.8876 13.8290 7.9745 90.00 90.00 90.00
Last column: nearest neighbours and their distance in Å.
Space group Amm2 (No. 38)
Asymmetric unit:
Pr: 0.0000 0.0000 0.0000 [2 per cell]  4 Pt 3.11, 6 Hg 3.24-3.47, 1 Ag 3.27
Nd: 0.0000 0.2049 0.6143 [4 per cell]  4 Pt 3.09-3.10, 4 Hg 3.24-3.46, 1 Ag 3.27
Ag: 0.0000 0.0000 0.4099 [2 per cell]  6 Hg 2.87-2.88
Hg: 0.5000 0.0000 0.6744 [2 per cell]  2 Ag 2.87, 2 Pt 2.98
Hg: 0.5000 0.1331 0.2769 [4 per cell]  2 Ag 2.88, 2 Pt 2.95-2.97
Pt: 0.5000 0.1673 0.9091 [4 per cell]  3 Hg 2.95-2.98, 4 Nd 3.09-3.10, 2 Pr 3.11

DFT total energy   -0.1493 Ha/atom
Total magnetization   0.0 μB/cell


total magnetization of number 1 (NbAg2HgSe3S)? 0.0 μB/cell


What is the formula in the sixth record? PrNd2Ag2Hg3Pd